Record 1
A plane-wave DFT calculation with PBE-GGA was carried out for crystalline CeGdFeCo at its relaxed geometry.

Calculated density, Mg/m³: 8.99
Calculated total energy, eV/atom: -8.85
Calculated volume, Å³ per atom: 19.0
Total magnetic moment, μB per atom: 1.922

abc: 6.727 6.727 6.727
angles: 90.00 90.00 90.00
Space group F-43m (No. 216)
Symmetry-distinct sites (fractional):
1 Ce 0.000 0.000 0.000
2 Gd 0.000 0.000 0.500
3 Fe 0.250 0.250 0.750
4 Co 0.250 0.250 0.250

---

Record 2
A plane-wave DFT calculation with PBE-GGA was carried out for crystalline CeFeCoGe2 at its relaxed geometry.

Calculated density, Mg/m³: 8.12
Calculated total energy, eV/atom: -6.68
Calculated volume, Å³ per atom: 16.4
Total magnetic moment, μB per atom: 0.075

abc: 4.046 4.046 9.999
angles: 90.00 90.00 90.00
Space group I-4m2 (No. 119)
Symmetry-distinct sites (fractional):
1 Ce 0.000 0.000 0.000
2 Fe 0.000 0.500 0.250
3 Co 0.000 0.500 0.750
4 Ge 0.000 0.000 0.368

---

Record 3
A plane-wave DFT calculation with PBE-GGA was carried out for crystalline CeFeCoGe3 at its relaxed geometry.

Calculated density, Mg/m³: 7.12
Calculated total energy, eV/atom: -6.13
Calculated volume, Å³ per atom: 18.4
Total magnetic moment, μB per atom: 0.318

abc: 7.034 10.735 5.841
angles: 90.00 90.00 90.00
Space group Cmcm (No. 63)
Symmetry-distinct sites (fractional):
1 Ce 0.000 0.249 0.250
2 Fe 0.000 0.455 0.750
3 Co 0.000 0.044 0.750
4 Ge 0.000 0.249 0.750
5 Ge 0.249 0.000 0.000

---

Record 4
A plane-wave DFT calculation with PBE-GGA was carried out for crystalline Ce2FeCoH6 at its relaxed geometry.

Calculated density, Mg/m³: 7.28
Calculated total energy, eV/atom: -5.11
Calculated volume, Å³ per atom: 9.2
Total magnetic moment, μB per atom: 0.111

abc: 7.144 7.151 7.165
angles: 90.00 90.00 90.00
Space group Fmmm (No. 69)
Symmetry-distinct sites (fractional):
1 Ce 0.250 0.250 0.250
2 Fe 0.000 0.000 0.000
3 Co 0.000 0.000 0.500
4 H 0.000 0.000 0.245
5 H 0.000 0.246 0.000
6 H 0.246 0.000 0.000

---

Record 5
A plane-wave DFT calculation with PBE-GGA was carried out for crystalline Ce6In2FeCo at its relaxed geometry.

Calculated density, Mg/m³: 7.34
Calculated total energy, eV/atom: -5.88
Calculated volume, Å³ per atom: 26.8
Total magnetic moment, μB per atom: 0.260

abc: 7.252 7.252 10.196
angles: 90.00 90.00 90.00
Space group I4/mmm (No. 139)
Symmetry-distinct sites (fractional):
1 Ce 0.000 0.000 0.237
2 Ce 0.246 0.246 0.500
3 In 0.000 0.500 0.250
4 Fe 0.000 0.000 0.000
5 Co 0.000 0.000 0.500